Below is a geometry-optimized PmNdTeO2 structure, with properties calculated at the GGA-PBE level.

abc: 4.033 4.033 12.808
angles: 90.00 90.00 90.00
Space group I4mm (No. 107)
One atom of each set of equivalent atoms:
Pm: 0.000 0.000 0.000
Nd: 0.000 0.000 0.319
Te: 0.000 0.000 0.660
O: 0.000 0.500 0.411

Computed properties:
Energy above the most stable polymorph in this dataset   0.00 eV/f.u.
Calculated density   7156 kg/m3
Magnetic moment   0.00 μB per formula unit